Compound: AcTb2Pm4Sm
Source: Alexandria
Functional: PBE
Structure: relaxed

## Properties
formation energy from the elements: 0.03 eV per atom
spin magnetization: 0.0 Bohr magnetons per cell
DOS at the Fermi energy: 12.09 states/eV/f.u.
calculated volume: 279 Å³/cell
density: 7.590 g cm⁻³

Lattice parameters (Å, degrees): 5.1740 5.1930 10.3834 90.00 90.07 90.00
Space group P2/m (No. 10)
One atom of each set of equivalent atoms:
Ac1 0.0000 0.0000 0.0000 (multiplicity 1)
Tb1 0.0000 0.0000 0.5000 (multiplicity 1)
Tb2 0.5000 0.5000 0.0000 (multiplicity 1)
Pm1 0.0001 0.5000 0.2563 (multiplicity 2)
Pm2 0.5005 0.0000 0.2571 (multiplicity 2)
Sm1 0.5000 0.5000 0.5000 (multiplicity 1)